Record 1
Entry from the Alexandria database: a crystal of AlB2PdO relaxed with PBEsol (meta-GGA SCAN).

Lattice parameters (Å, degrees): 3.7781 3.7781 3.5203 90.00 90.00 90.00
Fractional positions:
Al1 0.0000 0.0000 0.0000
B1 0.0000 0.5000 0.5000
B2 0.5000 0.0000 0.5000
Pd1 0.5000 0.5000 0.0000
O1 0.0000 0.0000 0.5000

Properties
Calculated density, g cm⁻³: 5.65
ΔE_f (raw), kJ/mol of atoms: 52
Total magnetic moment, Bohr magnetons per cell: 0.0
Raw total energy, eV/atom: -11.788

---

Record 2
Entry from the Alexandria database: a crystal of Sc2SeBr relaxed with PBEsol (meta-GGA SCAN).

Lattice parameters (Å, degrees): 3.6237 3.6237 6.2614 90.00 90.00 90.00
Fractional positions:
Sc1 0.0000 0.0000 0.0000
Sc2 0.5000 0.5000 0.3018
Se1 0.0000 0.0000 0.4390
Br1 0.5000 0.5000 0.8482

Properties
Excess energy over the best structure of this formula in the dataset, eV/atom: 0.000
Calculated density, g cm⁻³: 5.02
ΔE_f (raw), kJ/mol of atoms: -133
Total magnetic moment, Bohr magnetons per cell: 0.0
Raw total energy, eV/atom: -18.380

---

Record 3
Entry from the Alexandria database: a crystal of Y3AgGe relaxed with PBEsol (meta-GGA SCAN).

Lattice parameters (Å, degrees): 5.3474 5.3474 5.3474 90.00 90.00 90.00
Fractional positions:
Y1 0.0000 0.0000 0.5000
Y2 0.0000 0.5000 0.0000
Y3 0.5000 0.0000 0.0000
Ag1 0.5000 0.5000 0.5000
Ge1 0.0000 0.0000 0.0000

Properties
Energy of formation from the pure elements, eV/atom: -0.07
Calculated density, g cm⁻³: 4.86
Total magnetic moment, Bohr magnetons per cell: 2.5
Raw total energy, eV/atom: -26.870

---

Record 4
Entry from the Alexandria database: a crystal of RuAuBr relaxed with PBEsol (meta-GGA SCAN).

Lattice parameters (Å, degrees): 4.3780 4.3780 4.3780 60.00 60.00 60.00
Fractional positions:
Ru1 0.0000 0.0000 0.0000
Au1 0.7500 0.7500 0.7500
Br1 0.2500 0.2500 0.2500

Properties
Excess energy over the best structure of this formula in the dataset, eV/atom: 0.414
Calculated density, g cm⁻³: 10.58
ΔE_f (raw), kJ/mol of atoms: 75
Total magnetic moment, Bohr magnetons per cell: 2.0
Raw total energy, eV/atom: -40.375

---

Record 5
Entry from the Alexandria database: a crystal of Ta2BiS relaxed with PBEsol (meta-GGA SCAN).

Lattice parameters (Å, degrees): 8.4968 8.4968 8.4968 146.43 146.43 48.20
Fractional positions:
Ta1 0.0178 0.6250 0.8928
Ta2 0.3750 0.2678 0.3928
Ta3 0.7322 0.1250 0.1072
Ta4 0.8750 0.9822 0.6072
Bi1 0.2500 0.7500 0.5000
Bi2 0.5000 0.5000 0.0000
S1 0.0000 0.0000 0.0000
S2 0.7500 0.2500 0.5000

Properties
Excess energy over the best structure of this formula in the dataset, eV/atom: 0.117
Calculated density, g cm⁻³: 10.72
ΔE_f (raw), kJ/mol of atoms: 44
Total magnetic moment, Bohr magnetons per cell: 0.0
Raw total energy, eV/atom: -54.887

---

Record 6
Entry from the Alexandria database: a crystal of Fe2SbPb relaxed with PBEsol (meta-GGA SCAN).

Lattice parameters (Å, degrees): 4.6457 4.6457 4.6457 121.89 119.05 89.21
Fractional positions:
Fe1 0.2096 0.2096 0.0000
Fe2 0.7904 0.7904 0.0000
Sb1 0.0000 0.5000 0.5000
Pb1 0.5000 0.0000 0.5000

Properties
Calculated density, g cm⁻³: 10.40
ΔE_f (raw), kJ/mol of atoms: 56
Total magnetic moment, Bohr magnetons per cell: 5.1
Raw total energy, eV/atom: -36.747

---

Record 7
Entry from the Alexandria database: a crystal of TlCdTe relaxed with PBEsol (meta-GGA SCAN).

Lattice parameters (Å, degrees): 5.1542 5.1542 5.1542 60.00 60.00 60.00
Fractional positions:
Tl1 0.0000 0.0000 0.0000
Cd1 0.2500 0.2500 0.2500
Te1 0.7500 0.7500 0.7500

Properties
Calculated density, g cm⁻³: 7.62
ΔE_f (raw), kJ/mol of atoms: 13
Total magnetic moment, Bohr magnetons per cell: 0.0
Raw total energy, eV/atom: -46.544

---

Record 8
Entry from the Alexandria database: a crystal of SbOsPt2 relaxed with PBEsol (meta-GGA SCAN).

Lattice parameters (Å, degrees): 5.5011 5.5011 5.5011 149.38 129.84 59.92
Fractional positions:
Sb1 0.0000 0.0000 0.0000
Os1 0.5000 0.5000 0.0000
Pt1 0.2501 0.7501 0.5000
Pt2 0.7499 0.2499 0.5000

Properties
Calculated density, g cm⁻³: 18.06
ΔE_f (raw), kJ/mol of atoms: 38
Total magnetic moment, Bohr magnetons per cell: 0.0
Raw total energy, eV/atom: -61.990